A geometry-optimized Cu2Pt structure. Source: Alexandria, functional GGA-PBE.

## Properties
- formation energy (eV/atom) = -0.038

Lattice parameters (Å, degrees): 4.290 4.290 5.107 90.00 90.00 120.00
Sites, in units of the cell vectors:
Cu: 0.000 0.000 0.000
Cu: 0.000 0.000 0.500
Cu: 0.333 0.667 0.250
Cu: 0.667 0.333 0.750
Pt: 0.333 0.667 0.750
Pt: 0.667 0.333 0.250